DFT (GGA+U) results for VCuSeO6 after structural relaxation.

As for the raw total energy: -5.90 eV/atom.

The space group is P-31c (No. 163) and the conventional cell measures 4.9472, 4.9472 and 9.1005 Å, with angles of 90.00, 90.00 and 120.00 degrees. The asymmetric unit holds V at (0.3333, 0.6667, 0.2500), Cu at (0.0000, 0.0000, 0.0000), Se at (0.3333, 0.6667, 0.7500) and O at (0.0089, 0.3695, 0.6361).